# 1
VASP calculation (GGA-PBE) on an optimized crystal structure of La2Sm3Er2.

Results
Energy of formation in eV per atom: 0.019
Polymorph energy (0 for the lowest one) in kcal/mol of atoms: 0.000
Magnetization in μB per formula unit: 0.0
Theoretical density in g cm⁻³: 7.489

Lattice parameters (Å, degrees): 11.9317 3.6425 10.9005 90.00 95.52 90.00
Last column: nearest neighbours and their distance in Å.
Space group C2/m (No. 12)
One atom of each set of equivalent atoms:
La  0.2157  0.0000  0.3545 (multiplicity 4)  5 Sm 3.60-3.64, 3 Er 3.61, 4 La 3.64-3.68
Sm  0.0000  0.5000  0.5000 (multiplicity 2)  6 La 3.60-3.64, 2 Sm 3.64, 4 Er 3.66
Sm  0.1418  0.5000  0.0689 (multiplicity 4)  5 Sm 3.57-3.64, 5 Er 3.59-3.63, 2 La 3.64
Er  0.0700  0.0000  0.7889 (multiplicity 4)  7 Sm 3.59-3.66, 3 La 3.61, 2 Er 3.64

=====

# 2
VASP calculation (GGA-PBE) on an optimized crystal structure of La3Sm8Er2.

Results
Energy of formation in eV per atom: 0.164
Polymorph energy (0 for the lowest one) in kcal/mol of atoms: 0.000
Magnetization in μB per formula unit: 0.0
Theoretical density in g cm⁻³: 7.168

Lattice parameters (Å, degrees): 11.5891 13.0216 11.9994 90.00 90.00 90.00
Last column: nearest neighbours and their distance in Å.
Space group Cmce (No. 64)
One atom of each set of equivalent atoms:
La  0.0000  0.0000  0.0000 (multiplicity 4)  2 Er 3.20, 6 Sm 3.42-3.50
La  0.2500  0.1098  0.2500 (multiplicity 8)  2 Er 3.32, 4 Sm 3.64-3.71
Sm  0.0000  0.0572  0.7220 (multiplicity 8)  2 Er 3.27-3.65, 3 La 3.42-3.64, 3 Sm 3.53-3.58
Sm  0.0000  0.1745  0.4304 (multiplicity 8)  2 Er 3.16-3.31, 1 Sm 3.53
Sm  0.2402  0.1412  0.9114 (multiplicity 16)  3 La 3.50-3.80, 6 Sm 3.55-3.88, 1 Er 3.74
Er  0.0000  0.1996  0.1556 (multiplicity 8)  3 Sm 3.16-3.31, 3 La 3.20-3.32

=====

# 3
VASP calculation (GGA-PBE) on an optimized crystal structure of La12Sm2Er5.

Results
Energy of formation in eV per atom: 0.102
Magnetization in μB per formula unit: 0.0
Theoretical density in g cm⁻³: 6.967

Lattice parameters (Å, degrees): 13.3168 11.8161 9.5559 90.00 117.26 90.00
Last column: nearest neighbours and their distance in Å.
Space group C2/m (No. 12)
One atom of each set of equivalent atoms:
La  0.0626  0.0000  0.2749 (multiplicity 4)  4 La 3.39-3.54, 2 Er 3.42-3.71, 2 Sm 3.65
La  0.0979  0.5000  0.4202 (multiplicity 4)  5 La 3.57-3.85, 4 Er 3.61-3.83, 2 Sm 3.83
La  0.1041  0.2415  0.9059 (multiplicity 8)  5 La 3.46-3.86, 1 Sm 3.49, 4 Er 3.52-3.78
La  0.2146  0.2380  0.3129 (multiplicity 8)  3 La 3.27-3.47, 2 Er 3.41-3.59, 1 Sm 3.43
Sm  0.0000  0.2135  0.5000 (multiplicity 4)  8 La 3.43-3.83, 2 Er 3.58
Er  0.0000  0.5000  0.0000 (multiplicity 2)  6 La 3.61-3.63, 4 Er 3.66-3.70
Er  0.1969  0.0000  0.7323 (multiplicity 4)  6 La 3.41-3.78, 2 Er 3.50-3.66, 2 Sm 3.58
Er  0.2189  0.5000  0.8633 (multiplicity 4)  2 Er 3.50-3.70, 9 La 3.52-3.83

=====

# 4
VASP calculation (GGA-PBE) on an optimized crystal structure of LaSm6Er.

Results
Energy of formation in eV per atom: 0.366
Polymorph energy (0 for the lowest one) in kcal/mol of atoms: 7.901
Magnetization in μB per formula unit: 0.0
Theoretical density in g cm⁻³: 6.789

Lattice parameters (Å, degrees): 9.3686 7.1522 9.0988 90.00 104.17 90.00
Last column: nearest neighbours and their distance in Å.
Space group C2/m (No. 12)
One atom of each set of equivalent atoms:
La  0.0000  0.0000  0.0000 (multiplicity 2)  6 Sm 3.39-3.56
Sm  0.1276  0.5000  0.9241 (multiplicity 4)  3 Sm 3.04-3.35, 1 La 3.39
Sm  0.2231  0.2639  0.3030 (multiplicity 8)  4 Sm 3.35-3.75, 2 Er 3.35-3.50, 1 La 3.56
Er  0.0000  0.5000  0.5000 (multiplicity 2)  10 Sm 3.35-3.75

=====

# 5
VASP calculation (GGA-PBE) on an optimized crystal structure of LaSm3Er7.

Results
Energy of formation in eV per atom: 0.257
Polymorph energy (0 for the lowest one) in kcal/mol of atoms: 2.454
Magnetization in μB per formula unit: 0.0
Theoretical density in g cm⁻³: 8.019

Lattice parameters (Å, degrees): 5.8266 11.1644 11.2101 90.00 90.00 90.00
Last column: nearest neighbours and their distance in Å.
Space group Immm (No. 71)
One atom of each set of equivalent atoms:
La  0.0000  0.0000  0.0000 (multiplicity 2)  2 Er 2.91
Sm  0.0000  0.0000  0.5000 (multiplicity 2)  4 Er 3.20
Sm  0.0000  0.5000  0.2102 (multiplicity 4)  5 Er 3.25-3.39
Er  0.0000  0.2131  0.3091 (multiplicity 8)  2 Sm 3.20-3.39, 2 Er 3.30
Er  0.0000  0.2967  0.0000 (multiplicity 4)  2 Sm 3.27, 1 La 3.31, 6 Er 3.59-3.62
Er  0.0000  0.5000  0.5000 (multiplicity 2)  2 La 2.91, 2 Sm 3.25

=====

# 6
VASP calculation (GGA-PBE) on an optimized crystal structure of La12Sm5Er2.

Results
Energy of formation in eV per atom: 0.085
Polymorph energy (0 for the lowest one) in kcal/mol of atoms: 0.000
Magnetization in μB per formula unit: 0.0
Theoretical density in g cm⁻³: 6.772

Lattice parameters (Å, degrees): 6.4355 9.6786 11.7648 68.29 82.83 85.53
Last column: nearest neighbours and their distance in Å.
Space group P-1 (No. 2)
One atom of each set of equivalent atoms:
La  0.0296  0.4459  0.3631 (multiplicity 2)  1 Er 3.49, 5 La 3.53-3.71, 4 Sm 3.59-3.76
La  0.2372  0.9061  0.4696 (multiplicity 2)  2 Sm 3.38-3.62, 5 La 3.43-3.68, 1 Er 3.48
La  0.2406  0.5589  0.0476 (multiplicity 2)  4 Sm 3.55-3.73, 7 La 3.58-3.81, 1 Er 3.62
La  0.2438  0.1596  0.6102 (multiplicity 2)  1 Er 3.40, 5 La 3.43-3.53, 1 Sm 3.52
La  0.2918  0.3277  0.8671 (multiplicity 2)  6 La 3.53-3.82, 2 Er 3.54-3.92, 2 Sm 3.71-3.72
La  0.3614  0.9484  0.9045 (multiplicity 2)  5 La 3.45-3.82, 2 Er 3.45-3.59, 2 Sm 3.58-3.65
Sm  0.0594  0.1861  0.1935 (multiplicity 2)  2 Sm 3.54-3.66, 7 La 3.58-3.81, 1 Er 3.64
Sm  0.4816  0.7123  0.7226 (multiplicity 2)  6 La 3.38-3.73, 2 Sm 3.54-3.66
Sm  0.5000  0.5000  0.5000 (multiplicity 1)  6 La 3.52-3.76, 2 Sm 3.87
Er  0.2076  0.8067  0.2166 (multiplicity 2)  7 La 3.40-3.62, 1 Sm 3.64

=====

# 7
VASP calculation (GGA-PBE) on an optimized crystal structure of LaSm5Er2.

Results
Energy of formation in eV per atom: 0.018
Magnetization in μB per formula unit: 0.0
Theoretical density in g cm⁻³: 7.628

Lattice parameters (Å, degrees): 7.2348 14.4759 5.0934 90.00 90.00 90.00
Last column: nearest neighbours and their distance in Å.
Space group Pbam (No. 55)
One atom of each set of equivalent atoms:
La  0.0000  0.0000  0.0000 (multiplicity 2)  4 Er 3.61, 8 Sm 3.62-3.64
Sm  0.0000  0.5000  0.0000 (multiplicity 2)  6 Sm 3.60-3.61, 2 La 3.62, 4 Er 3.62
Sm  0.0023  0.2515  0.0000 (multiplicity 4)  4 Er 3.59-3.62, 7 Sm 3.59-3.62, 1 La 3.64
Sm  0.2477  0.6261  0.5000 (multiplicity 4)  4 Er 3.59-3.65, 6 Sm 3.59-3.61, 2 La 3.63
Er  0.2491  0.8741  0.5000 (multiplicity 4)  10 Sm 3.59-3.65, 2 La 3.61

=====

# 8
VASP calculation (GGA-PBE) on an optimized crystal structure of La2Sm8Er.

Results
Energy of formation in eV per atom: 0.021
Polymorph energy (0 for the lowest one) in kcal/mol of atoms: 0.000
Magnetization in μB per formula unit: 0.0
Theoretical density in g cm⁻³: 7.287

Lattice parameters (Å, degrees): 18.5594 5.1538 8.1394 90.00 105.27 90.00
Last column: nearest neighbours and their distance in Å.
Space group C2/m (No. 12)
One atom of each set of equivalent atoms:
La  0.2267  0.0000  0.1368 (multiplicity 4)  10 Sm 3.64-3.69, 2 La 3.65
Sm  0.0441  0.0000  0.2287 (multiplicity 4)  9 Sm 3.59-3.67, 2 Er 3.62, 1 La 3.66
Sm  0.0893  0.5000  0.9514 (multiplicity 4)  8 Sm 3.61-3.67, 1 Er 3.61, 3 La 3.66-3.67
Sm  0.1347  0.0000  0.6763 (multiplicity 4)  7 Sm 3.59-3.67, 2 Er 3.61, 3 La 3.67-3.69
Sm  0.1804  0.5000  0.4076 (multiplicity 4)  1 Er 3.62, 8 Sm 3.62-3.68, 3 La 3.64-3.65
Er  0.0000  0.5000  0.5000 (multiplicity 2)  12 Sm 3.61-3.62